No. 1
! Ca13Pr2, optimized geometry, DFT GGA-PBE; values from VASP
! formation energy = 5 kJ per mole of atoms
! total DFT energy (no corrections) = -0.085 hartree per atom
! space-group type = P-1
&SYSTEM
  ibrav = 0, nat = 15, ntyp = 2
/
ATOMIC_SPECIES
Ca 40.08 Ca.upf
Pr 140.91 Pr.upf
CELL_PARAMETERS angstrom
7.201 0.000 0.000
1.210 9.508 0.000
1.316 3.842 8.834
ATOMIC_POSITIONS angstrom
Ca 0.000 0.000 0.000
Ca 2.607 7.484 6.963
Ca 1.908 2.707 1.770
Ca 3.815 11.142 5.262
Ca 3.153 6.346 0.048
Ca 3.854 5.374 3.574
Ca 4.579 4.310 7.030
Ca 5.149 9.039 1.803
Ca 5.874 7.976 5.260
Ca 6.574 7.004 8.786
Ca 5.913 2.208 3.572
Ca 7.820 10.643 7.063
Ca 7.120 5.866 1.871
Pr 1.847 8.507 3.512
Pr 7.881 4.843 5.322

No. 2
! NbGaSe2Br, optimized geometry, DFT GGA-PBE; values from VASP
! total DFT energy (no corrections) = -0.119 hartree per atom
! polymorph energy (0 for the lowest one) = 7.09 eV/f.u.
! space-group type = P4/mmm
! energy relative to the elements, uncorrected = 1.10 eV/atom
&SYSTEM
  ibrav = 0, nat = 5, ntyp = 4
/
ATOMIC_SPECIES
Nb 92.91 Nb.upf
Ga 69.72 Ga.upf
Se 78.96 Se.upf
Br 79.90 Br.upf
CELL_PARAMETERS angstrom
5.237 0.000 0.000
0.000 5.237 0.000
0.000 0.000 5.081
ATOMIC_POSITIONS angstrom
Nb 0.000 0.000 0.000
Ga 2.619 2.619 0.000
Se 0.000 2.619 2.541
Se 2.619 0.000 2.541
Br 2.619 2.619 2.541

No. 3
! SrAc6Te8, optimized geometry, DFT GGA-PBE; values from VASP
! total DFT energy (no corrections) = -0.183 hartree per atom
! space-group type = Fm-3m
! energy relative to the elements, uncorrected = -1.56 eV/atom
&SYSTEM
  ibrav = 0, nat = 15, ntyp = 3
/
ATOMIC_SPECIES
Sr 87.62 Sr.upf
Ac 227.00 Ac.upf
Te 127.60 Te.upf
CELL_PARAMETERS angstrom
0.000 6.682 6.682
6.682 0.000 6.682
6.682 6.682 0.000
ATOMIC_POSITIONS angstrom
Sr 0.000 0.000 0.000
Ac 3.341 3.341 0.000
Ac 3.341 0.000 3.341
Ac 6.682 3.341 3.341
Ac 0.000 3.341 3.341
Ac 3.341 6.682 3.341
Ac 3.341 3.341 6.682
Te 3.341 3.341 3.341
Te 6.682 6.682 3.356
Te 6.682 3.356 6.682
Te 10.009 6.682 6.682
Te 3.356 6.682 6.682
Te 6.682 10.009 6.682
Te 6.682 6.682 10.009
Te 10.024 10.024 10.024

No. 4
! Li3La2Au4, optimized geometry, DFT GGA-PBE; values from VASP
! formation energy = -59 kJ per mole of atoms
! total DFT energy (no corrections) = -0.140 hartree per atom
! space-group type = Cmce
&SYSTEM
  ibrav = 0, nat = 18, ntyp = 3
/
ATOMIC_SPECIES
Li 6.94 Li.upf
La 138.91 La.upf
Au 196.97 Au.upf
CELL_PARAMETERS angstrom
3.033 -7.948 0.000
3.033 7.948 0.000
0.000 0.000 7.934
ATOMIC_POSITIONS angstrom
Li 0.000 0.000 0.000
Li 1.517 3.381 1.983
Li 1.517 -3.381 5.950
Li 3.033 0.000 3.967
Li 4.550 3.381 1.983
Li 4.550 -3.381 5.950
La 3.033 6.094 3.314
La 3.033 1.854 7.281
La 3.033 -1.854 0.653
La 3.033 -6.094 4.620
Au 3.033 4.967 0.324
Au 1.517 0.706 1.983
Au 1.517 -0.706 5.950
Au 3.033 2.981 4.291
Au 3.033 -2.981 3.643
Au 4.550 0.706 1.983
Au 4.550 -0.706 5.950
Au 3.033 -4.967 7.610

Question: total DFT energy (no corrections) of number 2 (NbGaSe2Br)?
Answer: -0.119 hartree per atom

Question: Which value of total DFT energy (no corrections) does entry 3 give?
Answer: -0.183 hartree per atom

Question: total DFT energy (no corrections) of number 3 (SrAc6Te8)?
Answer: -0.183 hartree per atom